No. 1
The following is a PBE calculation of a relaxed structure of CdReBr2, from the Alexandria database.

Calculated values
SG: Cm (8)
Electronic total energy in eV/atom: -3.83

Cell lengths 5.5353, 5.5353, 7.5590 Å; angles 68.61, 68.61, 33.22 degrees
Closest atoms and distances in Å follow each position.
Fractional coordinates of all 4 atoms:
Re: 0.3020 0.3020 0.3749  4 Br 2.56, 1 Cd 2.82
Br: 0.8933 0.8933 0.0871  2 Re 2.56
Br: 0.7375 0.7375 0.6627  2 Re 2.56
Cd: 0.5673 0.5673 0.3752  3 Re 2.82-2.95

---

No. 2
The following is a PBE calculation of a relaxed structure of K2NiCl5, from the Alexandria database.

Calculated values
SG: P4/mmm (123)
Electronic total energy in eV/atom: -3.40

Cell lengths 4.8050, 6.8289, 6.8289 Å; angles 90.00, 90.00, 90.00 degrees
Closest atoms and distances in Å follow each position.
Fractional coordinates of all 8 atoms:
K: 0.5000 0.5000 0.0000  10 Cl 3.41
K: 0.5000 0.0000 0.5000  10 Cl 3.41
Ni: 0.0000 0.0000 0.0000  6 Cl 2.25-2.40
Cl: 0.0000 0.7675 0.7675  1 Ni 2.25
Cl: 0.0000 0.2325 0.7675  1 Ni 2.25
Cl: 0.0000 0.7675 0.2325  1 Ni 2.25
Cl: 0.5000 0.0000 0.0000  2 Ni 2.40
Cl: 0.0000 0.2325 0.2325  1 Ni 2.25

---

No. 3
The following is a PBE calculation of a relaxed structure of Li8SbAu5, from the Alexandria database.

Calculated values
SG: I-4 (82)
Electronic total energy in eV/atom: -2.98

Cell lengths 6.7972, 6.7972, 6.7972 Å; angles 110.43, 107.58, 110.43 degrees
Closest atoms and distances in Å follow each position.
Fractional coordinates of all 14 atoms:
Li: 0.1392 0.7381 0.0671  5 Au 2.60-2.77, 1 Sb 2.69, 1 Li 2.89
Li: 0.9329 0.0720 0.6710  5 Au 2.60-2.77, 1 Sb 2.69, 1 Li 2.89
Li: 0.7524 0.2632 0.3519  5 Au 2.70-2.83, 3 Li 2.82-2.99, 1 Sb 3.00
Li: 0.6481 0.4005 0.9114  5 Au 2.70-2.83, 3 Li 2.82-2.99, 1 Sb 3.00
Li: 0.5108 0.5995 0.2476  5 Au 2.70-2.83, 3 Li 2.82-2.99, 1 Sb 3.00
Li: 0.5990 0.9280 0.8608  5 Au 2.60-2.77, 1 Sb 2.69, 1 Li 2.89
Li: 0.3290 0.2619 0.4010  5 Au 2.60-2.77, 1 Sb 2.69, 1 Li 2.89
Li: 0.0886 0.7368 0.4892  5 Au 2.70-2.83, 3 Li 2.82-2.99, 1 Sb 3.00
Sb: 0.2500 0.5000 0.7500  8 Li 2.69-3.00
Au: 0.0239 0.3367 0.1254  8 Li 2.66-2.83
Au: 0.8746 0.8985 0.2113  8 Li 2.66-2.83
Au: 0.7887 0.6633 0.6872  8 Li 2.66-2.83
Au: 0.5000 0.0000 0.5000  8 Li 2.60-2.70
Au: 0.3128 0.1015 0.9761  8 Li 2.66-2.83

---

No. 4
The following is a PBE calculation of a relaxed structure of K2TaMo, from the Alexandria database.

Calculated values
SG: Cmm2 (35)
DFT formation energy in eV per atom: 0.873
Electronic total energy in eV/atom: -5.35

Cell lengths 3.1781, 3.1781, 12.2145 Å; angles 90.00, 90.00, 114.06 degrees
Closest atoms and distances in Å follow each position.
Fractional coordinates of all 4 atoms:
K: 0.0000 0.0000 0.9581  6 K 3.18-3.46
K: 0.5000 0.5000 0.3005  6 K 3.18-3.46, 2 Mo 3.46
Mo: 0.0000 0.0000 0.5461  2 Ta 2.51
Ta: 0.5000 0.5000 0.6954  2 Mo 2.51

---

No. 5
The following is a PBE calculation of a relaxed structure of Ag3Hg5Br12, from the Alexandria database.

Calculated values
SG: Ia-3d (230)
Electronic total energy in eV/atom: -1.79

Cell lengths 15.2291, 15.2291, 15.2291 Å; angles 109.47, 109.47, 109.47 degrees
Closest atoms and distances in Å follow each position.
Fractional coordinates of all 80 atoms:
Ag: 0.7500 0.3750 0.1250  4 Br 2.98
Ag: 0.8750 0.7500 0.1250  4 Br 2.98
Ag: 0.3750 0.7500 0.6250  4 Br 2.98
Ag: 0.2500 0.1250 0.3750  4 Br 2.98
Ag: 0.8750 0.1250 0.2500  4 Br 2.98
Ag: 0.3750 0.6250 0.2500  4 Br 2.98
Ag: 0.6250 0.3750 0.7500  4 Br 2.98
Ag: 0.1250 0.8750 0.7500  4 Br 2.98
Ag: 0.7500 0.8750 0.6250  4 Br 2.98
Ag: 0.6250 0.2500 0.3750  4 Br 2.98
Ag: 0.1250 0.2500 0.8750  4 Br 2.98
Ag: 0.2500 0.6250 0.8750  4 Br 2.98
Hg: 0.1250 0.3750 0.2500  4 Br 2.71
Hg: 0.0000 0.5000 0.0000  6 Br 2.89
Hg: 0.0000 0.0000 0.0000  6 Br 2.89
Hg: 0.3750 0.2500 0.1250  4 Br 2.71
Hg: 0.5000 0.0000 0.5000  6 Br 2.89
Hg: 0.5000 0.5000 0.0000  6 Br 2.89
Hg: 0.1250 0.7500 0.3750  4 Br 2.71
Hg: 0.7500 0.1250 0.8750  4 Br 2.71
Hg: 0.7500 0.6250 0.3750  4 Br 2.71
Hg: 0.3750 0.1250 0.7500  4 Br 2.71
Hg: 0.6250 0.8750 0.2500  4 Br 2.71
Hg: 0.5000 0.5000 0.5000  6 Br 2.89
Hg: 0.5000 0.0000 0.0000  6 Br 2.89
Hg: 0.0000 0.0000 0.5000  6 Br 2.89
Hg: 0.2500 0.3750 0.6250  4 Br 2.71
Hg: 0.2500 0.8750 0.1250  4 Br 2.71
Hg: 0.0000 0.5000 0.5000  6 Br 2.89
Hg: 0.8750 0.2500 0.6250  4 Br 2.71
Hg: 0.6250 0.7500 0.8750  4 Br 2.71
Hg: 0.8750 0.6250 0.7500  4 Br 2.71
Br: 0.7020 0.1478 0.0344  2 Hg 2.71-2.89, 1 Ag 2.98
Br: 0.3324 0.5344 0.3866  2 Hg 2.71-2.89, 1 Ag 2.98
Br: 0.9656 0.3522 0.2980  2 Hg 2.71-2.89, 1 Ag 2.98
Br: 0.5344 0.2020 0.1478  2 Hg 2.71-2.89, 1 Ag 2.98
Br: 0.5542 0.7020 0.6676  2 Hg 2.71-2.89, 1 Ag 2.98
Br: 0.9656 0.6134 0.1676  2 Hg 2.71-2.89, 1 Ag 2.98
Br: 0.3324 0.7980 0.4458  2 Hg 2.71-2.89, 1 Ag 2.98
Br: 0.1134 0.9458 0.1478  2 Hg 2.71-2.89, 1 Ag 2.98
Br: 0.6134 0.9656 0.6676  2 Hg 2.71-2.89, 1 Ag 2.98
Br: 0.7020 0.5542 0.1676  2 Hg 2.71-2.89, 1 Ag 2.98
Br: 0.7980 0.4656 0.3522  2 Hg 2.71-2.89, 1 Ag 2.98
Br: 0.8324 0.8866 0.0344  2 Hg 2.71-2.89, 1 Ag 2.98
Br: 0.1478 0.7020 0.5344  2 Hg 2.71-2.89, 1 Ag 2.98
Br: 0.3522 0.3866 0.0542  2 Hg 2.71-2.89, 1 Ag 2.98
Br: 0.0542 0.8866 0.3522  2 Hg 2.71-2.89, 1 Ag 2.98
Br: 0.4458 0.1478 0.6134  2 Hg 2.71-2.89, 1 Ag 2.98
Br: 0.0542 0.1676 0.2020  2 Hg 2.71-2.89, 1 Ag 2.98
Br: 0.4656 0.6676 0.1134  2 Hg 2.71-2.89, 1 Ag 2.98
Br: 0.8324 0.9458 0.2980  2 Hg 2.71-2.89, 1 Ag 2.98
Br: 0.1478 0.4458 0.1134  2 Hg 2.71-2.89, 1 Ag 2.98
Br: 0.3522 0.9656 0.7980  2 Hg 2.71-2.89, 1 Ag 2.98
Br: 0.6134 0.6478 0.4458  2 Hg 2.71-2.89, 1 Ag 2.98
Br: 0.8866 0.8324 0.5344  2 Hg 2.71-2.89, 1 Ag 2.98
Br: 0.7980 0.3324 0.9458  2 Hg 2.71-2.89, 1 Ag 2.98
Br: 0.3866 0.3522 0.5542  2 Hg 2.71-2.89, 1 Ag 2.98
Br: 0.1134 0.1676 0.4656  2 Hg 2.71-2.89, 1 Ag 2.98
Br: 0.2020 0.6676 0.0542  2 Hg 2.71-2.89, 1 Ag 2.98
Br: 0.1676 0.0542 0.7020  2 Hg 2.71-2.89, 1 Ag 2.98
Br: 0.6478 0.0344 0.2020  2 Hg 2.71-2.89, 1 Ag 2.98
Br: 0.8522 0.5542 0.8866  2 Hg 2.71-2.89, 1 Ag 2.98
Br: 0.5344 0.3324 0.8866  2 Hg 2.71-2.89, 1 Ag 2.98
Br: 0.5542 0.8522 0.3866  2 Hg 2.71-2.89, 1 Ag 2.98
Br: 0.9458 0.8324 0.7980  2 Hg 2.71-2.89, 1 Ag 2.98
Br: 0.9458 0.1134 0.6478  2 Hg 2.71-2.89, 1 Ag 2.98
Br: 0.8522 0.2980 0.4656  2 Hg 2.71-2.89, 1 Ag 2.98
Br: 0.1676 0.1134 0.9656  2 Hg 2.71-2.89, 1 Ag 2.98
Br: 0.6478 0.6134 0.9458  2 Hg 2.71-2.89, 1 Ag 2.98
Br: 0.3866 0.0344 0.3324  2 Hg 2.71-2.89, 1 Ag 2.98
Br: 0.2980 0.4458 0.8324  2 Hg 2.71-2.89, 1 Ag 2.98
Br: 0.2020 0.5344 0.6478  2 Hg 2.71-2.89, 1 Ag 2.98
Br: 0.8866 0.0542 0.8522  2 Hg 2.71-2.89, 1 Ag 2.98
Br: 0.6676 0.2020 0.5542  2 Hg 2.71-2.89, 1 Ag 2.98
Br: 0.4656 0.7980 0.8522  2 Hg 2.71-2.89, 1 Ag 2.98
Br: 0.0344 0.3866 0.8324  2 Hg 2.71-2.89, 1 Ag 2.98
Br: 0.4458 0.2980 0.3324  2 Hg 2.71-2.89, 1 Ag 2.98
Br: 0.0344 0.6478 0.7020  2 Hg 2.71-2.89, 1 Ag 2.98
Br: 0.6676 0.4656 0.6134  2 Hg 2.71-2.89, 1 Ag 2.98
Br: 0.2980 0.8522 0.9656  2 Hg 2.71-2.89, 1 Ag 2.98

---

No. 6
The following is a PBE calculation of a relaxed structure of AcGdNiRh, from the Alexandria database.

Calculated values
SG: F-43m (216)
DFT formation energy in eV per atom: -0.417
Electronic total energy in eV/atom: -8.25

Cell lengths 5.0567, 5.0567, 5.0567 Å; angles 60.00, 60.00, 60.00 degrees
Closest atoms and distances in Å follow each position.
Fractional coordinates of all 4 atoms:
Ni: 0.2500 0.2500 0.2500  4 Ac 3.10, 4 Gd 3.10
Ac: 0.5000 0.5000 0.5000  4 Rh 3.10, 4 Ni 3.10
Gd: 0.0000 0.0000 0.0000  4 Ni 3.10, 4 Rh 3.10
Rh: 0.7500 0.7500 0.7500  4 Gd 3.10, 4 Ac 3.10

---

No. 7
The following is a PBE calculation of a relaxed structure of PrCrSb2, from the Alexandria database.

Calculated values
SG: R-3m (166)
Electronic total energy in eV/atom: -6.12

Cell lengths 4.3080, 4.3080, 6.9893 Å; angles 72.05, 72.05, 60.00 degrees
Closest atoms and distances in Å follow each position.
Fractional coordinates of all 4 atoms:
Pr: 0.5000 0.5000 0.5000  6 Sb 3.19
Sb: 0.2682 0.2682 0.1954  3 Cr 2.80
Sb: 0.7318 0.7318 0.8046  3 Cr 2.80
Cr: 0.0000 0.0000 0.0000  6 Sb 2.80

---

No. 8
The following is a PBE calculation of a relaxed structure of PmDy2Pd2, from the Alexandria database.

Calculated values
SG: P4/mbm (127)
DFT formation energy in eV per atom: -0.694
Electronic total energy in eV/atom: -5.56

Cell lengths 3.8953, 7.9242, 7.9242 Å; angles 90.00, 90.00, 90.00 degrees
Closest atoms and distances in Å follow each position.
Fractional coordinates of all 10 atoms:
Pm: 0.5000 0.5000 0.0000  4 Pd 3.11
Pm: 0.5000 0.0000 0.5000  4 Pd 3.11
Dy: 0.0000 0.6643 0.3357  6 Pd 3.02-3.05
Dy: 0.0000 0.8357 0.8357  6 Pd 3.02-3.05
Dy: 0.0000 0.1643 0.1643  6 Pd 3.02-3.05
Dy: 0.0000 0.3357 0.6643  6 Pd 3.02-3.05
Pd: 0.5000 0.3705 0.3705  1 Pd 2.90, 6 Dy 3.02-3.05, 2 Pm 3.11
Pd: 0.5000 0.8705 0.1295  1 Pd 2.90, 6 Dy 3.02-3.05, 2 Pm 3.11
Pd: 0.5000 0.1295 0.8705  1 Pd 2.90, 6 Dy 3.02-3.05, 2 Pm 3.11
Pd: 0.5000 0.6295 0.6295  1 Pd 2.90, 6 Dy 3.02-3.05, 2 Pm 3.11

---

No. 9
The following is a PBE calculation of a relaxed structure of KBi2Ru, from the Alexandria database.

Calculated values
SG: I-42d (122)
DFT formation energy in eV per atom: 0.263
Electronic total energy in eV/atom: -4.27

Cell lengths 8.4797, 8.4797, 6.9278 Å; angles 52.27, 52.27, 90.00 degrees
Closest atoms and distances in Å follow each position.
Fractional coordinates of all 8 atoms:
Ru: 0.0000 0.0000 0.0000  4 Bi 2.69
Ru: 0.7500 0.2500 0.5000  4 Bi 2.69
K: 0.5000 0.5000 0.0000  2 Ru 3.47, 8 Bi 3.64-3.65
K: 0.2500 0.7500 0.5000  2 Ru 3.47, 8 Bi 3.64-3.65
Bi: 0.7095 0.1250 0.2500  2 Ru 2.69
Bi: 0.0405 0.6250 0.2500  2 Ru 2.69
Bi: 0.3750 0.2905 0.7500  2 Ru 2.69
Bi: 0.8750 0.9595 0.7500  2 Ru 2.69

---

No. 10
The following is a PBE calculation of a relaxed structure of Ba3PmGa2O8, from the Alexandria database.

Calculated values
SG: P-3m1 (164)
Electronic total energy in eV/atom: -6.41

Cell lengths 6.0926, 6.0926, 7.6862 Å; angles 90.00, 90.00, 120.00 degrees
Closest atoms and distances in Å follow each position.
Fractional coordinates of all 14 atoms:
Ba: 0.3333 0.6667 0.6554  1 O 2.48
Ba: 0.6667 0.3333 0.3446  1 O 2.48
Ba: 0.0000 0.0000 0.0000  6 O 3.01
Pm: 0.0000 0.0000 0.5000  6 O 2.31
Ga: 0.3333 0.6667 0.2151  4 O 1.82-1.87
Ga: 0.6667 0.3333 0.7849  4 O 1.82-1.87
O: 0.3333 0.6667 0.9783  1 Ga 1.82
O: 0.6667 0.3333 0.0217  1 Ga 1.82
O: 0.1714 0.8286 0.3134  1 Ga 1.87
O: 0.8286 0.1714 0.6866  1 Ga 1.87
O: 0.1714 0.3428 0.3134  1 Ga 1.87
O: 0.8286 0.6572 0.6866  1 Ga 1.87
O: 0.6572 0.8286 0.3134  1 Ga 1.87
O: 0.3428 0.1714 0.6866  1 Ga 1.87

---

No. 11
The following is a PBE calculation of a relaxed structure of Li2Mg5Tl4, from the Alexandria database.

Calculated values
SG: Immm (71)
DFT formation energy in eV per atom: -0.007
Electronic total energy in eV/atom: -1.94

Cell lengths 3.5565, 7.7509, 10.6937 Å; angles 111.25, 99.57, 90.00 degrees
Closest atoms and distances in Å follow each position.
Fractional coordinates of all 11 atoms:
Li: 0.5846 0.5846 0.1692  5 Tl 2.78-2.90
Li: 0.4154 0.4154 0.8308  5 Tl 2.78-2.90
Mg: 0.1502 0.3625 0.3003  4 Tl 2.92-3.22, 2 Li 3.13
Mg: 0.8498 0.6375 0.6997  4 Tl 2.92-3.22, 2 Li 3.13
Mg: 0.1502 0.9378 0.3003  4 Tl 2.92-3.22, 2 Li 3.13
Mg: 0.5000 0.0000 0.0000  4 Tl 2.90
Mg: 0.8498 0.0622 0.6997  4 Tl 2.92-3.22, 2 Li 3.13
Tl: 0.7266 0.7266 0.4531  1 Li 2.78, 2 Mg 2.92
Tl: 0.0000 0.2954 0.0000  4 Mg 2.90-3.01, 4 Li 2.90, 1 Tl 3.17
Tl: 0.2734 0.2734 0.5469  1 Li 2.78, 2 Mg 2.92
Tl: 0.0000 0.7046 0.0000  4 Mg 2.90-3.01, 4 Li 2.90, 1 Tl 3.17

---

No. 12
The following is a PBE calculation of a relaxed structure of Pa4P2Se5, from the Alexandria database.

Calculated values
SG: C2/m (12)
Electronic total energy in eV/atom: -7.24

Cell lengths 4.0331, 7.5675, 10.0810 Å; angles 112.06, 101.54, 90.00 degrees
Closest atoms and distances in Å follow each position.
Fractional coordinates of all 11 atoms:
Pa: 0.7075 0.7075 0.4150  1 P 2.71, 6 Se 2.92-2.94
Pa: 0.9999 0.7257 0.9998  4 P 2.85, 4 Se 2.89-3.04
Pa: 0.2925 0.2925 0.5850  1 P 2.71, 6 Se 2.92-2.94
Pa: 0.0001 0.2743 0.0002  4 P 2.85, 4 Se 2.89-3.04
P: 0.5588 0.5592 0.1177  1 P 2.15
P: 0.4412 0.4408 0.8823  1 P 2.15
Se: 0.1658 0.9307 0.3316  4 Pa 2.92-3.04
Se: 0.8342 0.0693 0.6684  4 Pa 2.92-3.04
Se: 0.1658 0.4008 0.3316  4 Pa 2.92-3.04
Se: 0.5000 0.0000 0.0000  4 Pa 2.89
Se: 0.8342 0.5992 0.6684  4 Pa 2.92-3.04